# 1
A relaxed SrCuI2 crystal. Source: the Alexandria database, functional PBE-GGA.

* energy relative to the lowest polymorph listed for this composition: 0.000 eV/f.u.
* space-group type: Fm-3m (225)
* formation energy (no corrections): -0.5512 eV per atom
* total magnetization: 0.00 Bohr magnetons per cell

Lattice parameters (Å, degrees): 5.643 5.643 5.643 60.00 60.00 60.00
Positions (direct):
Sr1 0.000 0.000 0.000
Cu1 0.500 0.500 0.500
I1 0.250 0.250 0.250
I2 0.750 0.750 0.750

# 2
A relaxed BaZr2CdCl crystal. Source: the Alexandria database, functional PBE-GGA.

* space-group type: P4/mmm (123)
* formation energy (no corrections): 0.0316 eV per atom
* total magnetization: 0.00 Bohr magnetons per cell

Lattice parameters (Å, degrees): 4.936 4.936 5.776 90.00 90.00 90.00
Positions (direct):
Ba1 0.000 0.000 0.000
Zr1 0.000 0.500 0.500
Zr2 0.500 0.000 0.500
Cd1 0.500 0.500 0.000
Cl1 0.000 0.000 0.500

# 3
A relaxed TlCd5Hg2 crystal. Source: the Alexandria database, functional PBE-GGA.

* space-group type: Immm (71)
* total magnetization: 0.00 Bohr magnetons per cell
* formation enthalpy at 0 K: 0.0225 eV per atom

Lattice parameters (Å, degrees): 7.653 7.653 7.653 151.10 107.81 79.56
Positions (direct):
Tl1 0.000 0.000 0.000
Cd1 0.157 0.368 0.789
Cd2 0.421 0.632 0.789
Cd3 0.500 0.000 0.500
Cd4 0.579 0.368 0.211
Cd5 0.843 0.632 0.211
Hg1 0.238 0.738 0.500
Hg2 0.762 0.262 0.500

# 4
A relaxed LaZrNb4 crystal. Source: the Alexandria database, functional PBE-GGA.

* space-group type: F-43m (216)
* total magnetization: 0.00 Bohr magnetons per cell
* formation enthalpy at 0 K: 0.1682 eV per atom

Lattice parameters (Å, degrees): 5.676 5.676 5.676 60.00 60.00 60.00
Positions (direct):
La1 0.000 0.000 0.000
Zr1 0.750 0.750 0.750
Nb1 0.375 0.375 0.375
Nb2 0.375 0.375 0.874
Nb3 0.375 0.874 0.375
Nb4 0.874 0.375 0.375